Entry from Alexandria: an optimized crystal structure of ZnCoO2 (GGA+U).

VASP energy: -5.167 eV per atom

a b c (Å): 3.0129 3.0129 4.4554
angles (deg): 90.00 90.00 90.00
Each line ends with the local moment (μB).
Atoms (fractional coordinates):
Zn  0.5000  0.5000  0.0000  -0.01
Co  0.0000  0.0000  0.5000  2.74
O  0.5000  0.5000  0.5000  0.16
O  0.0000  0.0000  0.0000  0.06